[1]
VASP calculation (PBE) on a relaxed structure of CaPm2Tl.

```
data_CaPm2Tl
_cell_length_a 3.6463
_cell_length_b 3.6463
_cell_length_c 36.5475
_cell_angle_alpha 90.00
_cell_angle_beta 90.00
_cell_angle_gamma 120.00
_space_group_name_H-M_alt 'R -3 m'
_space_group_IT_number 166
_space_group_name_Hall '-R 3 2"'
loop_
_atom_site_label
_atom_site_fract_x
_atom_site_fract_y
_atom_site_fract_z
Ca1 0.0000 0.0000 0.0000
Pm1 0.0000 0.0000 0.0965
Tl1 0.0000 0.0000 0.5000
```

Calculated values
**Polymorph energy (0 for the lowest one)**: 235 meV/atom
**Energy of formation**: 0.197 eV per formula unit
**D(E_F)**: 16.25 states/eV per cell


[2]
VASP calculation (PBE) on a relaxed structure of Rb3Pu3NpO8.

```
data_Rb3Pu3NpO8
_cell_length_a 7.1292
_cell_length_b 7.1292
_cell_length_c 19.9684
_cell_angle_alpha 90.00
_cell_angle_beta 90.00
_cell_angle_gamma 120.00
_space_group_name_H-M_alt 'R -3 m'
_space_group_IT_number 166
_space_group_name_Hall '-R 3 2"'
loop_
_atom_site_label
_atom_site_fract_x
_atom_site_fract_y
_atom_site_fract_z
Rb1 0.0000 0.5000 0.0000
Pu1 0.0000 0.5000 0.5000
Np1 0.0000 0.0000 0.5000
O1 0.0000 0.0000 0.2242
O2 0.0125 0.5063 0.2218
```

Calculated values
**D(E_F)**: 75.94 states/eV per cell
**Energy relative to the elements, uncorrected**: -2.501 eV per atom


[3]
VASP calculation (PBE) on a relaxed structure of Ba3Sr2Pt2.

```
data_Ba3Sr2Pt2
_cell_length_a 14.450
_cell_length_b 4.434
_cell_length_c 9.284
_cell_angle_alpha 90.00
_cell_angle_beta 110.78
_cell_angle_gamma 90.00
_space_group_name_H-M_alt 'C 1 2/m 1'
_space_group_IT_number 12
loop_
_space_group_symop_operation_xyz
'x,y,z'
'-x,-y,-z'
'-x,y,-z'
'x,-y,z'
'x+1/2,y+1/2,z'
'-x+1/2,-y+1/2,-z'
'-x+1/2,y+1/2,-z'
'x+1/2,-y+1/2,z'
loop_
_atom_site_label
_atom_site_fract_x
_atom_site_fract_y
_atom_site_fract_z
Ba1 0.000 0.000 0.000
Ba2 0.128 0.000 0.431
Sr1 0.180 0.500 0.829
Pt1 0.183 0.500 0.207
```

Calculated values
**Energy of formation**: -3.802 eV per formula unit
**D(E_F)**: 7.39 states/eV per cell


[4]
VASP calculation (PBE) on a relaxed structure of CaTc3Ni.

```
data_CaTc3Ni
_cell_length_a 4.556
_cell_length_b 4.556
_cell_length_c 4.556
_cell_angle_alpha 90.00
_cell_angle_beta 90.00
_cell_angle_gamma 90.00
_space_group_name_H-M_alt 'P m -3 m'
_space_group_IT_number 221
_space_group_name_Hall '-P 4 2 3'
loop_
_atom_site_label
_atom_site_fract_x
_atom_site_fract_y
_atom_site_fract_z
Ca1 0.000 0.000 0.000
Tc1 0.000 0.500 0.500
Ni1 0.500 0.500 0.500
```

Calculated values
**Polymorph energy (0 for the lowest one)**: 0 meV/atom
**Energy of formation**: 5.968 eV per formula unit
**D(E_F)**: 6.47 states/eV per cell


[5]
VASP calculation (PBE) on a relaxed structure of Li2Cd6In.

```
data_Li2Cd6In
_cell_length_a 12.869
_cell_length_b 3.131
_cell_length_c 10.363
_cell_angle_alpha 90.00
_cell_angle_beta 112.76
_cell_angle_gamma 90.00
_space_group_name_H-M_alt 'C 1 2/m 1'
_space_group_IT_number 12
loop_
_space_group_symop_operation_xyz
'x,y,z'
'-x,-y,-z'
'-x,y,-z'
'x,-y,z'
'x+1/2,y+1/2,z'
'-x+1/2,-y+1/2,-z'
'-x+1/2,y+1/2,-z'
'x+1/2,-y+1/2,z'
loop_
_atom_site_label
_atom_site_fract_x
_atom_site_fract_y
_atom_site_fract_z
Li1 0.143 0.000 0.249
Cd1 0.019 0.500 0.686
Cd2 0.166 0.000 0.548
Cd3 0.228 0.000 0.870
In1 0.000 0.500 0.000
```

Calculated values
**Polymorph energy (0 for the lowest one)**: 0 meV/atom
**Energy of formation**: -0.960 eV per formula unit
**D(E_F)**: 5.16 states/eV per cell